No. 1
DFT (PBE) results for crystalline Y4BTe3 at its relaxed geometry.

Results
The value obtained for the formation energy from raw total energies is -1.09 eV per atom. The density of states at the Fermi level comes out at 2.40 states/eV per cell. The density is 5.7 Mg/m³. Its symmetry is Cmmm, No. 65. For the total energy, the calculation gives -6.3390 eV per atom.

```
Y4BTe3
1.0
4.150 0.000 0.000
0.000 7.062 -2.377
0.000 -0.029 7.451
Te Y B
3 4 1
Direct
0.500 0.500 0.500 Te
0.000 0.000 0.500 Te
0.000 0.500 0.000 Te
0.500 0.784 0.216 Y
0.500 0.216 0.784 Y
0.000 0.793 0.793 Y
0.000 0.207 0.207 Y
0.500 0.000 0.000 B
```

No. 2
DFT (PBE) results for crystalline YBTe2 at its relaxed geometry.

Results
The value obtained for the formation energy from raw total energies is 0.45 eV per atom. The density of states at the Fermi level comes out at 3.06 states/eV per cell. The density is 5.9 Mg/m³. Its symmetry is R-3m, No. 166. For the total energy, the calculation gives -4.4065 eV per atom.

```
YBTe2
1.0
5.542 -2.138 7.070
7.397 -3.474 4.298
7.676 0.009 5.134
Te B Y
2 1 1
Direct
0.887 0.887 0.887 Te
0.113 0.113 0.113 Te
0.500 0.500 0.500 B
0.000 0.000 0.000 Y
```